This record from Alexandria describes an optimized crystal structure of Ce2AlSi3Ir4. The functional is PBE.

Calculated values
**Total energy**: -0.5702 Ry/atom
**Magnetization**: 0.82 μB per formula unit
**E_form (uncorrected)**: -1026 meV per atom

Lattice parameters (Å, degrees): 4.1415 4.1415 10.1635 90.00 90.00 90.00
With the nearest neighbours (Å) after each atom.
Fractional coordinates of all 10 atoms:
Ce 0.5000 0.0000 0.2531  8 Ir 3.13-3.30, 6 Si 3.20-3.25, 2 Al 3.25
Ce 0.0000 0.5000 0.7469  8 Ir 3.13-3.30, 6 Si 3.20-3.25, 2 Al 3.25
Al 0.5000 0.5000 0.5000  4 Ir 2.50
Si 0.0000 0.0000 0.5000  4 Ir 2.50
Si 0.5000 0.0000 0.8728  5 Ir 2.40-2.44
Si 0.0000 0.5000 0.1272  5 Ir 2.40-2.44
Ir 0.5000 0.5000 0.0000  4 Si 2.44
Ir 0.0000 0.0000 0.0000  4 Si 2.44
Ir 0.5000 0.0000 0.6370  3 Si 2.40-2.50, 2 Al 2.50
Ir 0.0000 0.5000 0.3630  3 Si 2.40-2.50, 2 Al 2.50